Record 1
First-principles (GGA-PBE) data for crystalline ZrPd2Pt at its relaxed geometry, as listed in OQMD.

a = 5.6776 Å, b = 9.9045 Å, c = 4.6795 Å
α = 90.00°, β = 90.00°, γ = 90.00°
Space group Cmcm (No. 63)
Inequivalent atoms, fractional coordinates:
Zr1 0.0000 0.1699 0.2500 (multiplicity 4)
Pd1 0.2471 0.4200 0.2500 (multiplicity 8)
Pt1 0.0000 0.3339 0.7500 (multiplicity 4)

Values from the calculation:
**DFT formation energy**: -0.895 eV/atom
**Total magnetization**: 0.00 Bohr magnetons per cell



Record 2
First-principles (GGA-PBE) data for crystalline ErTmReSi2 at its relaxed geometry, as listed in OQMD.

a = 10.7737 Å, b = 4.1464 Å, c = 9.9309 Å
α = 90.00°, β = 118.33°, γ = 90.00°
Space group C2/m (No. 12)
Inequivalent atoms, fractional coordinates:
Er1 0.1866 0.0000 0.1117 (multiplicity 4)
Tm1 0.0091 0.0000 0.6794 (multiplicity 4)
Re1 0.2279 0.5000 0.3699 (multiplicity 4)
Si1 0.0028 0.5000 0.8771 (multiplicity 4)
Si2 0.1366 0.5000 0.5579 (multiplicity 4)

Values from the calculation:
**Total DFT energy (no corrections)**: -142.84 eV per cell
**Total magnetization**: 0.01 Bohr magnetons per cell



Q: Look up the total magnetization of the second one.
A: 0.01 Bohr magnetons per cell